14
Lattice="-4.396 -4.349 0.311 0.982 -0.117 -7.320 6.821 -3.348 3.670" Properties=species:S:1:pos:R:3 comment="Ce4Tc2Sn | the Alexandria database | PBE-GGA | optimized geometry" n_ef_per_ev_cell=24.55 e_form_ev_per_atom=-0.20 spacegroup="No. 1" polymorph_energy_ev_per_atom=0.0279 pbc="T T T"
Sn 2.787 -2.973 -3.952
Sn 0.703 -0.402 -6.852
Ce 4.062 -5.207 2.531
Ce -1.679 -4.027 -3.887
Ce 0.191 -1.000 -2.976
Ce -1.308 -4.345 0.193
Ce 0.683 -6.186 -1.650
Ce 4.129 -5.079 -1.896
Ce 1.740 -3.027 0.017
Ce 0.516 -5.846 2.528
Tc 4.373 -3.651 0.257
Tc 0.301 -3.550 -2.582
Tc 2.228 -5.883 0.488
Tc 0.376 -2.900 -5.516